Computed, not measured: a geometry-optimized Zr6Tl2Ir structure at the GGA-PBE level of DFT.

Computed properties:
* crystal system: hexagonal
* DFT formation energy: -0.29 eV per atom

Lattice parameters (Å, degrees): 8.2111 8.2111 3.4675 90.00 90.00 120.00
With the nearest neighbours (Å) after each atom.
Space group P-62m (No. 189)
One atom of each set of equivalent atoms:
Zr  0.0000  0.2515  0.0000 (multiplicity 3)  2 Ir 2.70
Zr  0.0000  0.6102  0.5000 (multiplicity 3)  4 Tl 3.07, 1 Ir 3.20, 6 Zr 3.30-3.42
Tl  0.3333  0.6667  0.0000 (multiplicity 2)  9 Zr 3.07-3.13
Ir  0.0000  0.0000  0.5000 (multiplicity 1)  6 Zr 2.70

=====

Computed, not measured: a geometry-optimized Tb4CSeS2 structure at the GGA-PBE level of DFT.

Computed properties:
* crystal system: monoclinic
* raw formation energy: -1.59 eV/atom

Lattice parameters (Å, degrees): 6.7374 3.8596 6.9083 90.00 108.96 90.00
With the nearest neighbours (Å) after each atom.
Space group P2/m (No. 10)
One atom of each set of equivalent atoms:
Tb  0.2231  0.0000  0.2158 (multiplicity 2)  2 C 2.60, 1 S 2.74, 1 Se 2.83
Tb  0.2385  0.5000  0.7808 (multiplicity 2)  1 C 2.54, 2 S 2.72, 2 Se 2.84
C  0.0000  0.5000  0.0000 (multiplicity 1)  6 Tb 2.54-2.60
Se  0.0000  0.0000  0.5000 (multiplicity 1)  6 Tb 2.83-2.84
S  0.5000  0.0000  0.0000 (multiplicity 1)  6 Tb 2.72-2.74
S  0.5000  0.5000  0.5000 (multiplicity 1)  6 Tb 2.95-3.01

=====

Computed, not measured: a geometry-optimized AcEuY2 structure at the GGA-PBE level of DFT.

Computed properties:
* crystal system: tetragonal
* DFT formation energy: 0.10 eV per atom
* energy above the most stable polymorph in this dataset: 0.031 eV per atom

Lattice parameters (Å, degrees): 5.3020 5.3020 5.2657 90.00 90.00 90.00
With the nearest neighbours (Å) after each atom.
Space group P4/mmm (No. 123)
One atom of each set of equivalent atoms:
Ac  0.0000  0.0000  0.0000 (multiplicity 1)  8 Y 3.74, 4 Eu 3.75
Eu  0.5000  0.5000  0.0000 (multiplicity 1)  8 Y 3.74, 4 Ac 3.75
Y  0.0000  0.5000  0.5000 (multiplicity 2)  4 Eu 3.74, 4 Ac 3.74, 4 Y 3.75

=====

Computed, not measured: a geometry-optimized NdZn2Sn2 structure at the GGA-PBE level of DFT.

Computed properties:
* crystal system: orthorhombic
* DFT formation energy: -0.38 eV per atom

Lattice parameters (Å, degrees): 4.4419 22.9323 4.4560 90.00 90.00 90.00
With the nearest neighbours (Å) after each atom.
Space group Cmcm (No. 63)
One atom of each set of equivalent atoms:
Nd  0.0000  0.1390  0.2500 (multiplicity 4)  8 Sn 3.20-3.39, 4 Zn 3.25-3.34
Zn  0.0000  0.0302  0.7500 (multiplicity 4)  4 Zn 2.62-2.68
Zn  0.0000  0.4646  0.7500 (multiplicity 4)  4 Zn 2.68-2.76, 2 Sn 2.88
Sn  0.0000  0.2505  0.7500 (multiplicity 4)  4 Sn 3.15, 4 Nd 3.37-3.39
Sn  0.0000  0.3854  0.2500 (multiplicity 4)  4 Zn 2.88-2.95, 4 Nd 3.20

=====

Computed, not measured: a geometry-optimized AlCuBr2 structure at the GGA-PBE level of DFT.

Computed properties:
* crystal system: orthorhombic
* raw formation energy: -0.03 eV/atom
* energy above the most stable polymorph in this dataset: 0.339 eV per atom

Lattice parameters (Å, degrees): 3.7505 6.8892 8.0515 90.00 90.00 90.00
With the nearest neighbours (Å) after each atom.
Space group Cmmm (No. 65)
One atom of each set of equivalent atoms:
Al  0.0000  0.0000  0.0000 (multiplicity 2)  4 Br 2.97
Cu  0.0000  0.0000  0.5000 (multiplicity 2)  4 Br 2.54
Br  0.0000  0.5000  0.2865 (multiplicity 4)  2 Cu 2.54

=====

Computed, not measured: a geometry-optimized Pm2ErTl9 structure at the GGA-PBE level of DFT.

Computed properties:
* crystal system: tetragonal
* DFT formation energy: -0.27 eV per atom

Lattice parameters (Å, degrees): 4.7973 4.7973 14.3873 90.00 90.00 90.00
With the nearest neighbours (Å) after each atom.
Space group P4/mmm (No. 123)
One atom of each set of equivalent atoms:
Pm  0.0000  0.0000  0.1676 (multiplicity 2)  12 Tl 3.39-3.41
Er  0.0000  0.0000  0.5000 (multiplicity 1)  12 Tl 3.36-3.39
Tl  0.0000  0.5000  0.0000 (multiplicity 2)  8 Tl 3.39-3.40, 4 Pm 3.40
Tl  0.0000  0.5000  0.3364 (multiplicity 4)  8 Tl 3.36-3.41, 2 Er 3.36, 2 Pm 3.41
Tl  0.5000  0.5000  0.1675 (multiplicity 2)  4 Pm 3.39, 8 Tl 3.40-3.41
Tl  0.5000  0.5000  0.5000 (multiplicity 1)  8 Tl 3.36, 4 Er 3.39

=====

Computed, not measured: a geometry-optimized GeBiPO2 structure at the GGA-PBE level of DFT.

Computed properties:
* crystal system: tetragonal
* raw formation energy: 0.06 eV/atom
* energy above the most stable polymorph in this dataset: 0.506 eV per atom

Lattice parameters (Å, degrees): 4.1835 4.1835 5.4374 90.00 90.00 90.00
With the nearest neighbours (Å) after each atom.
Space group P4/mmm (No. 123)
One atom of each set of equivalent atoms:
Ge  0.0000  0.0000  0.0000 (multiplicity 1)  4 P 2.96
Bi  0.5000  0.5000  0.5000 (multiplicity 1)  4 O 2.09
P  0.5000  0.5000  0.0000 (multiplicity 1)  2 Bi 2.72, 4 Ge 2.96
O  0.0000  0.5000  0.5000 (multiplicity 2)  2 Bi 2.09

=====

Computed, not measured: a geometry-optimized KBiTeC2 structure at the GGA-PBE level of DFT.

Computed properties:
* crystal system: tetragonal
* raw formation energy: 2.73 eV/atom

Lattice parameters (Å, degrees): 4.8718 4.8718 6.5839 90.00 90.00 90.00
With the nearest neighbours (Å) after each atom.
Space group P4/mmm (No. 123)
One atom of each set of equivalent atoms:
K  0.0000  0.0000  0.0000 (multiplicity 1)  4 C 2.44
Bi  0.5000  0.5000  0.5000 (multiplicity 1)  4 Te 3.44
Te  0.0000  0.0000  0.5000 (multiplicity 1)  2 K 3.29, 4 Bi 3.44
C  0.0000  0.5000  0.0000 (multiplicity 2)  2 K 2.44

=====

Computed, not measured: a geometry-optimized AcLa2Pd structure at the GGA-PBE level of DFT.

Computed properties:
* crystal system: trigonal
* DFT formation energy: -0.16 eV per atom
* energy above the most stable polymorph in this dataset: 0.263 eV per atom

Lattice parameters (Å, degrees): 3.9583 3.9583 33.2122 90.00 90.00 120.00
With the nearest neighbours (Å) after each atom.
Space group R-3m (No. 166, hexagonal axes)
One atom of each set of equivalent atoms:
Ac  0.0000  0.0000  0.0000 (multiplicity 3)  2 La 3.70, 6 Ac 3.96
La  0.0000  0.0000  0.1114 (multiplicity 6)  3 Pd 2.93
Pd  0.0000  0.0000  0.5000 (multiplicity 3)  6 La 2.93

=====

Computed, not measured: a geometry-optimized SmHo4Tm3 structure at the GGA-PBE level of DFT.

Computed properties:
* crystal system: orthorhombic
* DFT formation energy: 0.02 eV per atom
* energy above the most stable polymorph in this dataset: 0.021 eV per atom

Lattice parameters (Å, degrees): 3.5272 7.0322 9.9529 90.00 90.00 90.00
With the nearest neighbours (Å) after each atom.
Space group Pmmm (No. 47)
One atom of each set of equivalent atoms:
Sm  0.0000  0.0000  0.0000 (multiplicity 1)  2 Tm 3.52, 2 Sm 3.53, 8 Ho 3.54
Ho  0.5000  0.2514  0.2519 (multiplicity 4)  4 Ho 3.50-3.54, 6 Tm 3.50-3.53, 2 Sm 3.54
Tm  0.0000  0.0000  0.5000 (multiplicity 1)  8 Ho 3.51, 4 Tm 3.52-3.53
Tm  0.0000  0.5000  0.0000 (multiplicity 1)  2 Sm 3.52, 2 Tm 3.53, 8 Ho 3.53
Tm  0.0000  0.5000  0.5000 (multiplicity 1)  8 Ho 3.50, 4 Tm 3.52-3.53

=====

Computed, not measured: a geometry-optimized Ca3MnP structure at the GGA-PBE level of DFT.

Computed properties:
* crystal system: cubic
* DFT formation energy: -0.14 eV per atom
* energy above the most stable polymorph in this dataset: 0.000 eV per atom

Lattice parameters (Å, degrees): 5.4861 5.4861 5.4861 90.00 90.00 90.00
With the nearest neighbours (Å) after each atom.
Space group Pm-3m (No. 221)
One atom of each set of equivalent atoms:
Ca  0.0000  0.0000  0.5000 (multiplicity 3)  2 P 2.74
Mn  0.5000  0.5000  0.5000 (multiplicity 1)  12 Ca 3.88
P  0.0000  0.0000  0.0000 (multiplicity 1)  6 Ca 2.74

=====

Computed, not measured: a geometry-optimized HoMgAl2Cu4 structure at the GGA-PBE level of DFT.

Computed properties:
* crystal system: trigonal
* DFT formation energy: -0.25 eV per atom

Lattice parameters (Å, degrees): 4.2451 4.2451 24.8078 90.00 90.00 120.00
With the nearest neighbours (Å) after each atom.
Space group R-3m (No. 166, hexagonal axes)
One atom of each set of equivalent atoms:
Ho  0.0000  0.0000  0.0000 (multiplicity 3)  8 Cu 2.93-2.95
Mg  0.0000  0.0000  0.5000 (multiplicity 3)  8 Cu 2.53-2.72
Al  0.0000  0.0000  0.2444 (multiplicity 6)  6 Cu 2.52-2.56
Cu  0.0000  0.0000  0.1191 (multiplicity 6)  3 Al 2.56, 3 Mg 2.72, 3 Cu 2.80
Cu  0.0000  0.0000  0.3981 (multiplicity 6)  3 Al 2.52, 1 Mg 2.53, 3 Cu 2.80

=====

Computed, not measured: a geometry-optimized CdHg2Bi structure at the GGA-PBE level of DFT.

Computed properties:
* crystal system: monoclinic
* DFT formation energy: 0.07 eV per atom

Lattice parameters (Å, degrees): 3.4215 5.7570 5.6606 90.00 95.93 90.00
With the nearest neighbours (Å) after each atom.
Space group P2/m (No. 10)
One atom of each set of equivalent atoms:
Cd  0.0000  0.0000  0.0000 (multiplicity 1)  4 Bi 3.15-3.46, 4 Hg 3.26, 2 Cd 3.42
Hg  0.1890  0.5000  0.2565 (multiplicity 2)  3 Hg 3.05-3.30, 2 Cd 3.26, 2 Bi 3.32
Bi  0.5000  0.0000  0.5000 (multiplicity 1)  4 Cd 3.15-3.46, 4 Hg 3.32, 2 Bi 3.42

=====

Computed, not measured: a geometry-optimized Ho8P3PtS4 structure at the GGA-PBE level of DFT.

Computed properties:
* crystal system: trigonal
* raw formation energy: -1.76 eV/atom

Lattice parameters (Å, degrees): 7.9097 7.9097 19.4202 90.00 90.00 120.00
With the nearest neighbours (Å) after each atom.
Space group R-3m (No. 166, hexagonal axes)
One atom of each set of equivalent atoms:
Ho  0.0000  0.0000  0.2472 (multiplicity 6)  3 P 2.77, 3 S 2.83
Ho  0.0038  0.5019  0.7513 (multiplicity 18)  2 P 2.77, 3 S 2.79-2.82, 1 Pt 2.81
P  0.0000  0.5000  0.5000 (multiplicity 9)  6 Ho 2.77
Pt  0.0000  0.0000  0.5000 (multiplicity 3)  6 Ho 2.81
S  0.0000  0.0000  0.0000 (multiplicity 3)  6 Ho 2.79
S  0.0000  0.5000  0.0000 (multiplicity 9)  6 Ho 2.82-2.83

=====

Computed, not measured: a geometry-optimized Sc4AlCuAg2 structure at the GGA-PBE level of DFT.

Computed properties:
* crystal system: trigonal
* DFT formation energy: -0.30 eV per atom

Lattice parameters (Å, degrees): 4.8011 4.8011 23.4721 90.00 90.00 120.00
With the nearest neighbours (Å) after each atom.
Space group R-3m (No. 166, hexagonal axes)
One atom of each set of equivalent atoms:
Sc  0.0000  0.0000  0.1202 (multiplicity 6)  1 Cu 2.82, 4 Ag 2.87-2.92, 3 Al 2.98
Sc  0.0000  0.0000  0.3713 (multiplicity 6)  3 Cu 2.91, 4 Ag 2.97-3.02, 1 Al 3.02
Al  0.0000  0.0000  0.5000 (multiplicity 3)  8 Sc 2.98-3.02, 6 Ag 3.32
Cu  0.0000  0.0000  0.0000 (multiplicity 3)  8 Sc 2.82-2.91
Ag  0.0000  0.0000  0.2448 (multiplicity 6)  8 Sc 2.87-3.02

=====

Computed, not measured: a geometry-optimized AlB2Se structure at the GGA-PBE level of DFT.

Computed properties:
* crystal system: cubic
* raw formation energy: 1.44 eV/atom
* energy above the most stable polymorph in this dataset: 0.913 eV per atom

Lattice parameters (Å, degrees): 5.8119 5.8119 5.8119 90.00 90.00 90.00
With the nearest neighbours (Å) after each atom.
Space group Fm-3m (No. 225)
One atom of each set of equivalent atoms:
Al  0.0000  0.0000  0.0000 (multiplicity 4)  8 B 2.52
B  0.2500  0.2500  0.2500 (multiplicity 8)  4 Se 2.52, 4 Al 2.52
Se  0.0000  0.0000  0.5000 (multiplicity 4)  8 B 2.52

=====

Computed, not measured: a geometry-optimized LiHoGa structure at the GGA-PBE level of DFT.

Computed properties:
* crystal system: tetragonal
* DFT formation energy: -0.22 eV per atom
* energy above the most stable polymorph in this dataset: 0.180 eV per atom

Lattice parameters (Å, degrees): 3.4501 3.4501 10.6429 90.00 90.00 90.00
With the nearest neighbours (Å) after each atom.
Space group I4mm (No. 107)
One atom of each set of equivalent atoms:
Li  0.0000  0.0000  0.0000 (multiplicity 2)  4 Ga 2.74
Ho  0.0000  0.0000  0.2939 (multiplicity 2)  5 Ga 3.08-3.44, 5 Li 3.13-3.28, 4 Ho 3.45
Ga  0.0000  0.0000  0.6168 (multiplicity 2)  4 Li 2.74

=====

Computed, not measured: a geometry-optimized LaGa3Au3 structure at the GGA-PBE level of DFT.

Computed properties:
* crystal system: hexagonal
* DFT formation energy: -0.42 eV per atom
* energy above the most stable polymorph in this dataset: 0.000 eV per atom

Lattice parameters (Å, degrees): 9.1677 9.1677 4.8252 90.00 90.00 120.00
With the nearest neighbours (Å) after each atom.
Space group P6_3/m (No. 176)
One atom of each set of equivalent atoms:
La  0.3333  0.6667  0.2500 (multiplicity 2)  3 Ga 3.23, 9 Au 3.41-3.48
Ga  0.0314  0.6730  0.7500 (multiplicity 6)  4 Au 2.52-2.73
Au  0.0748  0.3998  0.7500 (multiplicity 6)  4 Ga 2.52-2.73

=====

Computed, not measured: a geometry-optimized VSICl2 structure at the GGA-PBE level of DFT.

Computed properties:
* crystal system: tetragonal
* raw formation energy: 0.77 eV/atom
* energy above the most stable polymorph in this dataset: 1.030 eV per atom

Lattice parameters (Å, degrees): 5.4758 5.4758 5.2021 90.00 90.00 90.00
With the nearest neighbours (Å) after each atom.
Space group P4/mmm (No. 123)
One atom of each set of equivalent atoms:
V  0.0000  0.0000  0.0000 (multiplicity 1)  8 Cl 3.78, 4 S 3.87
S  0.5000  0.5000  0.0000 (multiplicity 1)  2 I 2.60
I  0.5000  0.5000  0.5000 (multiplicity 1)  2 S 2.60, 4 Cl 2.74
Cl  0.0000  0.5000  0.5000 (multiplicity 2)  2 I 2.74

=====

Computed, not measured: a geometry-optimized TaNb3H structure at the GGA-PBE level of DFT.

Computed properties:
* crystal system: triclinic
* energy above the most stable polymorph in this dataset: 0.000 eV per atom

Lattice parameters (Å, degrees): 5.5602 5.5753 5.8090 100.41 100.07 116.32
With the nearest neighbours (Å) after each atom.
Space group P-1 (No. 2)
One atom of each set of equivalent atoms:
Ta  0.2456  0.2455  0.2461 (multiplicity 2)  8 Nb 2.85-2.97, 3 H 3.01-3.06
Nb  0.2381  0.7394  0.4993 (multiplicity 2)  2 H 1.93-1.95
Nb  0.2399  0.2576  0.7509 (multiplicity 2)  1 H 1.92
Nb  0.2417  0.7432  0.9939 (multiplicity 2)  1 H 1.94
H  0.4946  0.1257  0.6856 (multiplicity 2)  4 Nb 1.92-1.95